This record from the Alexandria database describes Li3Al2FeO6 after structural relaxation. The functional is PBE+U.

a b c (Å): 4.9284 4.9284 5.0635
angles (deg): 99.34 99.34 119.99
Last column: nearest neighbours and their distance in Å.
Element x y z (fractional)
Li: 0.0000 0.0000 0.0000  6 O 2.10-2.15
Li: 0.3357 0.6643 0.0000  6 O 2.12-2.15
Li: 0.6643 0.3357 0.0000  6 O 2.12-2.15
Al: 0.1668 0.8332 0.5000  6 O 1.93
Al: 0.8332 0.1668 0.5000  6 O 1.93
Fe: 0.5000 0.5000 0.5000  6 O 1.97
O: 0.0875 0.4278 0.2839  2 Al 1.93, 1 Fe 1.97, 3 Li 2.12-2.15
O: 0.2318 0.2318 0.7168  2 Al 1.93, 1 Fe 1.97, 3 Li 2.10-2.13
O: 0.4278 0.0875 0.2839  2 Al 1.93, 1 Fe 1.97, 3 Li 2.12-2.15
O: 0.5722 0.9125 0.7161  2 Al 1.93, 1 Fe 1.97, 3 Li 2.12-2.15
O: 0.7682 0.7682 0.2832  2 Al 1.93, 1 Fe 1.97, 3 Li 2.10-2.13
O: 0.9125 0.5722 0.7161  2 Al 1.93, 1 Fe 1.97, 3 Li 2.12-2.15

Values from the calculation:
* space-group type: No. 12
* total energy: -6.332 eV per atom
* total magnetization: 1.00 μB per cell